# Na3Y3BiO8

Crystalline Na3Y3BiO8 at its relaxed geometry (GGA-PBE, the Alexandria database).

It has space group R-3m (No. 166, hexagonal axes), with a = 6.8956 Å, b = 6.8956 Å, c = 16.9027 Å, α = 90.00°, β = 90.00° and γ = 120.00°. The inequivalent atoms are Na at (0.0000, 0.5000, 0.0000), Y at (0.0000, 0.5000, 0.5000), Bi at (0.0000, 0.0000, 0.5000), O at (0.0000, 0.0000, 0.2352) and O at (0.0073, 0.5037, 0.2356).

For the calculated volume, the calculation gives 696.0 Å³ per cell. For the uncorrected formation energy, the calculation gives -2.402 eV/atom.